[1]
Nd3Te2Au: optimized geometry, GGA-PBE.

Calculated values
ΔE to the lowest computed polymorph in eV per atom: 0.010
ρ in kg/m3: 7852
Space-group type: Immm (71)
E_form (uncorrected) in meV per atom: -1192

abc: 4.3357 6.3448 13.6051
angles: 90.00 90.00 90.00
Sites, in units of the cell vectors:
Nd1 0.0000 0.0000 0.0000
Nd2 0.0000 0.0000 0.3440
Nd3 0.0000 0.0000 0.6560
Nd4 0.5000 0.5000 0.1560
Nd5 0.5000 0.5000 0.5000
Nd6 0.5000 0.5000 0.8440
Te1 0.0000 0.5000 0.3288
Te2 0.0000 0.5000 0.6712
Te3 0.5000 0.0000 0.1712
Te4 0.5000 0.0000 0.8288
Au1 0.0000 0.5000 0.0000
Au2 0.5000 0.0000 0.5000

[2]
Nd2Te4Au: optimized geometry, GGA-PBE.

Calculated values
ΔE to the lowest computed polymorph in eV per atom: 0.000
ρ in kg/m3: 7768
Space-group type: P2_1/m (11)
E_form (uncorrected) in meV per atom: -1002

abc: 7.8727 6.3137 8.9114
angles: 90.00 106.03 90.00
Sites, in units of the cell vectors:
Nd1 0.2167 0.2500 0.4291
Nd2 0.2613 0.2500 0.9403
Nd3 0.7387 0.7500 0.0597
Nd4 0.7833 0.7500 0.5709
Te1 0.0714 0.7500 0.3598
Te2 0.0817 0.7500 0.9232
Te3 0.4826 0.5064 0.2534
Te4 0.4826 0.9936 0.2534
Te5 0.5174 0.0064 0.7466
Te6 0.5174 0.4936 0.7466
Te7 0.9183 0.2500 0.0768
Te8 0.9286 0.2500 0.6402
Au1 0.2037 0.7500 0.6705
Au2 0.7963 0.2500 0.3295

[3]
Nd2ThAu: optimized geometry, GGA-PBE.

Calculated values
ΔE to the lowest computed polymorph in eV per atom: 0.173
ρ in kg/m3: 9584
Space-group type: R3m (160)
Formation energy from the elements in eV/atom: -0.190

abc: 3.7186 3.7186 31.1419
angles: 90.00 90.00 120.00
Sites, in units of the cell vectors:
Nd1 0.0000 0.0000 0.0000
Nd2 0.0000 0.0000 0.1901
Nd3 0.3333 0.6667 0.6667
Nd4 0.3333 0.6667 0.8567
Nd5 0.6667 0.3333 0.3333
Nd6 0.6667 0.3333 0.5234
Th1 0.0000 0.0000 0.4285
Th2 0.3333 0.6667 0.0952
Th3 0.6667 0.3333 0.7618
Au1 0.0000 0.0000 0.5951
Au2 0.3333 0.6667 0.2618
Au3 0.6667 0.3333 0.9285

[4]
Nd2ThAu: optimized geometry, GGA-PBE.

Calculated values
ΔE to the lowest computed polymorph in eV per atom: 0.362
ρ in kg/m3: 9671
Space-group type: R-3m (166)
Formation energy from the elements in eV/atom: -0.002

abc: 3.4905 3.4905 35.0271
angles: 90.00 90.00 120.00
Sites, in units of the cell vectors:
Nd1 0.0000 0.0000 0.0988
Nd2 0.0000 0.0000 0.9012
Nd3 0.3333 0.6667 0.5679
Nd4 0.3333 0.6667 0.7654
Nd5 0.6667 0.3333 0.2346
Nd6 0.6667 0.3333 0.4321
Th1 0.0000 0.0000 0.0000
Th2 0.3333 0.6667 0.6667
Th3 0.6667 0.3333 0.3333
Au1 0.0000 0.0000 0.5000
Au2 0.3333 0.6667 0.1667
Au3 0.6667 0.3333 0.8333

[5]
Nd2ThAu6: optimized geometry, GGA-PBE.

Calculated values
ρ in kg/m3: 13169
Space-group type: Immm (71)
Formation energy from the elements in eV/atom: -0.668

abc: 8.6061 8.6061 8.6061
angles: 155.40 125.50 60.67
Sites, in units of the cell vectors:
Nd1 0.1425 0.1425 0.0000
Nd2 0.8575 0.8575 0.0000
Th1 0.5000 0.0000 0.5000
Au1 0.1442 0.3248 0.8195
Au2 0.1837 0.5000 0.6837
Au3 0.4947 0.6752 0.8195
Au4 0.5053 0.3248 0.1805
Au5 0.8163 0.5000 0.3163
Au6 0.8558 0.6752 0.1805

[6]
NdThAu4: optimized geometry, GGA-PBE.

Calculated values
ΔE to the lowest computed polymorph in eV per atom: 0.065
ρ in kg/m3: 13792
Space-group type: P4/mmm (123)
Formation energy from the elements in eV/atom: -0.719

abc: 3.8778 3.8778 9.3206
angles: 90.00 90.00 90.00
Sites, in units of the cell vectors:
Nd1 0.0000 0.0000 0.0000
Th1 0.5000 0.5000 0.5000
Au1 0.0000 0.0000 0.3327
Au2 0.0000 0.0000 0.6673
Au3 0.5000 0.5000 0.1656
Au4 0.5000 0.5000 0.8344

[7]
Nd2ThAu: optimized geometry, GGA-PBE.

Calculated values
ΔE to the lowest computed polymorph in eV per atom: 0.000
ρ in kg/m3: 10171
Space-group type: P4/mmm (123)
Formation energy from the elements in eV/atom: -0.363

abc: 3.7108 3.7108 8.5066
angles: 90.00 90.00 90.00
Sites, in units of the cell vectors:
Nd1 0.0000 0.0000 0.2168
Nd2 0.0000 0.0000 0.7832
Th1 0.5000 0.5000 0.5000
Au1 0.5000 0.5000 0.0000

[8]
NdThAu4: optimized geometry, GGA-PBE.

Calculated values
ΔE to the lowest computed polymorph in eV per atom: 0.000
ρ in kg/m3: 13780
Space-group type: Pmmm (47)
Formation energy from the elements in eV/atom: -0.784

abc: 3.5421 4.8358 8.1900
angles: 90.00 90.00 90.00
Sites, in units of the cell vectors:
Nd1 0.0000 0.0000 0.0000
Th1 0.0000 0.5000 0.5000
Au1 0.5000 0.0000 0.3320
Au2 0.5000 0.0000 0.6680
Au3 0.5000 0.5000 0.1684
Au4 0.5000 0.5000 0.8316